NaTe4Pb3, optimized geometry, DFT GGA-PBE; crystal system = cubic
1.0
6.4679 0.0000 0.0000
0.0000 6.4679 0.0000
0.0000 0.0000 6.4679
Te Na Pb
4 1 3
Cartesian
0.0000 0.0000 3.2340 Te
3.2340 3.2340 3.2340 Te
0.0000 3.2340 0.0000 Te
3.2340 0.0000 0.0000 Te
0.0000 0.0000 0.0000 Na
3.2340 3.2340 0.0000 Pb
0.0000 3.2340 3.2340 Pb
3.2340 0.0000 3.2340 Pb

=====

Na2Te2Pb, optimized geometry, DFT GGA-PBE; energy above the lowest structure with this stoichiometry = 0.006 eV per atom; crystal system = orthorhombic
1.0
4.5833 0.0000 0.0000
0.0000 6.5868 0.0000
-2.2916 0.0000 10.7966
Pb Na Te
2 4 4
Cartesian
0.0000 3.4371 8.4651 Pb
2.2916 0.1437 2.3315 Pb
0.0000 1.8037 0.0153 Na
0.0000 3.4420 3.9460 Na
2.2916 0.1486 6.8506 Na
2.2916 5.0971 10.7813 Na
2.2916 3.4404 6.4876 Te
0.0000 0.1651 9.2496 Te
0.0000 0.1470 4.3090 Te
2.2916 3.4585 1.5471 Te

=====

| no. | formation energy without anion corrections (meV/atom) |
| --- | --- |
| 1 | -416 |
| 2 | -634 |